The following is a PBE-GGA calculation of a relaxed Ce3Si8Ni2 crystal, from Alexandria via LeMat-Bulk.

Structure (POSCAR):
```
Ce3Si8Ni2
1.0
2.026 -13.145 0.000
2.026 13.145 0.000
0.000 0.000 4.195
Ce Si Ni
3 8 2
direct
0.000 0.000 0.000 Ce
0.311 0.689 0.500 Ce
0.689 0.311 0.500 Ce
0.098 0.902 0.500 Si
0.224 0.776 0.000 Si
0.405 0.595 0.000 Si
0.455 0.545 0.500 Si
0.545 0.455 0.500 Si
0.595 0.405 0.000 Si
0.776 0.224 0.000 Si
0.902 0.098 0.500 Si
0.135 0.865 0.000 Ni
0.865 0.135 0.000 Ni
```

## Properties
- ΔE_f (raw) (eV per atom) = -0.610
- DFT total energy (eV/atom) = -6.21